The following is a DFT calculation (PBE) of La2Nd4DyMg after structural relaxation.

Results
- Energy of formation from the pure elements: 13 meV/atom
- Crystal system: monoclinic

Cell: 5.0913 5.0761 10.4133 Å, 90.00 90.05 90.00°
With the nearest neighbours (Å) after each atom.
Space group P2/m (No. 10)
Symmetry-distinct sites (fractional):
La 0.0000 0.0000 0.0000 [1 per cell]  4 Mg 3.59, 8 Nd 3.63
La 0.5000 0.5000 0.5000 [1 per cell]  4 Dy 3.59, 8 Nd 3.65
Nd 0.9999 0.5000 0.2486 [2 per cell]  4 Nd 3.59-3.60, 4 La 3.63-3.65, 2 Mg 3.63, 2 Dy 3.65
Nd 0.4997 0.0000 0.2483 [2 per cell]  4 Nd 3.59-3.60, 2 Mg 3.62, 4 La 3.63-3.65, 2 Dy 3.65
Dy 0.0000 0.0000 0.5000 [1 per cell]  4 La 3.59, 8 Nd 3.65
Mg 0.5000 0.5000 0.0000 [1 per cell]  4 La 3.59, 8 Nd 3.62-3.63